The following is a DFT calculation (PBE) of a relaxed structure of Th2TiSb.

Calculated values
N(E_F)   1.16 states/eV per atom
Energy   -6.99 eV/atom
Crystal system   tetragonal
Formation energy without anion corrections   -0.273 eV per atom

abc: 4.7619 4.7619 4.5775
angles: 90.00 90.00 90.00
Sites, in units of the cell vectors:
1 Th 0.0000 0.5000 0.0000
2 Th 0.5000 0.0000 0.0000
3 Ti 0.0000 0.0000 0.5000
4 Sb 0.5000 0.5000 0.5000